DFT (PBE) results for a relaxed SrTlPbAu crystal. Values from VASP.

Values from the calculation:
**E above lowest polymorph**: 80 meV/atom
**Symmetry**: P4/nmm
**Size of the total moment**: 0.00 μB/f.u.
**E_form**: -0.277 eV/atom

Structure (Quantum ESPRESSO input):
```
&SYSTEM
  ibrav = 0, nat = 8, ntyp = 4
/
ATOMIC_SPECIES
Sr 87.62 Sr.upf
Tl 204.38 Tl.upf
Pb 207.20 Pb.upf
Au 196.97 Au.upf
CELL_PARAMETERS angstrom
4.4666 0.0000 0.0000
0.0000 4.4666 0.0000
0.0000 0.0000 13.4348
ATOMIC_POSITIONS crystal
Sr 0.2500 0.2500 0.1448
Sr 0.7500 0.7500 0.8552
Tl 0.2500 0.2500 0.6914
Tl 0.7500 0.7500 0.3086
Pb 0.2500 0.7500 0.5000
Pb 0.7500 0.2500 0.5000
Au 0.2500 0.2500 0.9131
Au 0.7500 0.7500 0.0869
```